Material: Li3AlNi
Method: DFT, PBE-GGA
State: relaxed

- V (Å³/f.u.) = 87
- offset from the most stable computed form (eV per atom) = 0.000
- energy (eV per atom) = -2.67
- formation energy from the elements (eV per atom) = 0.382

```
5
Lattice="4.4386 0.0000 0.0000 0.0000 4.4386 0.0000 0.0000 0.0000 4.4386" Properties=species:S:1:pos:R:3 pbc="T T T"
Li 0.0000 0.0000 2.2193
Li 0.0000 2.2193 0.0000
Li 2.2193 0.0000 0.0000
Al 2.2193 2.2193 2.2193
Ni 0.0000 0.0000 0.0000
```

***

Material: K3HoNp2O9
Method: DFT, PBE-GGA
State: relaxed

- V (Å³/f.u.) = 237
- formation energy (no corrections) (eV per atom) = -2.729
- energy (eV per atom) = -7.95

```
15
Lattice="6.0649 0.0000 0.0000 -3.0324 5.2524 0.0000 0.0000 0.0000 7.4310" Properties=species:S:1:pos:R:3 pbc="T T T"
K 0.0000 0.0000 0.0000
K 0.0000 3.5016 4.9205
K 3.0324 1.7508 2.5105
Ho 0.0000 0.0000 3.7155
Np 0.0000 3.5016 1.2443
Np 3.0324 1.7508 6.1867
O -1.5162 2.6262 0.0000
O 0.0000 1.8357 2.3990
O -1.4427 4.3345 2.3990
O 1.5897 0.9178 5.0319
O 3.0324 0.0000 0.0000
O 1.5162 2.6262 0.0000
O 1.4427 4.3345 2.3990
O 4.4752 0.9178 5.0319
O 3.0324 3.4167 5.0319
```

***

Material: BeCr2Pt
Method: DFT, PBE-GGA
State: relaxed

- V (Å³/f.u.) = 48
- energy (eV per atom) = -7.29
- formation energy from the elements (eV per atom) = -0.039

```
8
Lattice="4.6348 0.0000 0.0000 0.0000 8.1171 0.0000 0.0000 0.0000 2.5715" Properties=species:S:1:pos:R:3 pbc="T T T"
Be 0.0000 0.0000 0.0000
Be 2.3174 4.0586 0.0000
Cr 1.1587 2.0293 1.2858
Cr 1.1587 6.0878 1.2858
Cr 3.4761 2.0293 1.2858
Cr 3.4761 6.0878 1.2858
Pt 0.0000 4.0586 0.0000
Pt 2.3174 0.0000 0.0000
```

***

Material: TmNb3C4
Method: DFT, PBE-GGA
State: relaxed

- V (Å³/f.u.) = 97
- energy (eV per atom) = -9.43
- formation energy from the elements (eV per atom) = -0.478

```
16
Lattice="6.5310 0.0000 0.0000 0.0000 9.1819 0.0000 0.0000 0.0000 3.2316" Properties=species:S:1:pos:R:3 pbc="T T T"
Tm 0.0000 0.0000 0.0000
Tm 3.2655 4.5910 0.0000
Nb 0.0000 4.5910 0.0000
Nb 1.6328 2.2955 1.6158
Nb 1.6328 6.8864 1.6158
Nb 3.2655 0.0000 0.0000
Nb 4.8983 2.2955 1.6158
Nb 4.8983 6.8864 1.6158
C 0.0000 2.3522 0.0000
C 0.0000 6.8297 0.0000
C 1.5340 4.5910 1.6158
C 1.7315 0.0000 1.6158
C 3.2655 2.2388 0.0000
C 3.2655 6.9432 0.0000
C 4.7996 0.0000 1.6158
C 4.9970 4.5910 1.6158
```

***

Material: TaPt3Se
Method: DFT, PBE-GGA
State: relaxed

- V (Å³/f.u.) = 100
- offset from the most stable computed form (eV per atom) = 0.000
- formation energy (no corrections) (eV per atom) = 0.866
- energy (eV per atom) = -5.83

```
5
Lattice="4.6431 0.0000 0.0000 0.0000 4.6431 0.0000 0.0000 0.0000 4.6431" Properties=species:S:1:pos:R:3 pbc="T T T"
Ta 0.0000 0.0000 0.0000
Pt 0.0000 2.3216 2.3216
Pt 2.3216 0.0000 2.3216
Pt 2.3216 2.3216 0.0000
Se 2.3216 2.3216 2.3216
```

***

Material: YAg2IrF
Method: DFT, PBE-GGA
State: relaxed

- V (Å³/f.u.) = 108
- formation energy (no corrections) (eV per atom) = 0.048
- energy (eV per atom) = -4.53

```
5
Lattice="5.2026 0.0000 0.0000 0.0000 5.2026 0.0000 0.0000 0.0000 3.9975" Properties=species:S:1:pos:R:3 pbc="T T T"
Y 0.0000 0.0000 0.0000
Ag 0.0000 2.6013 1.9988
Ag 2.6013 0.0000 1.9988
Ir 2.6013 2.6013 1.9988
F 2.6013 2.6013 0.0000
```